Rb3MgI5 (PBE-GGA, relaxed); E_form (uncorrected) = -1.3357 eV/atom; energy = -2.697 eV/atom
1.0
-5.026 5.045 8.352
5.026 -5.045 8.352
5.026 5.045 -8.352
Rb Mg I
6 2 10
Direct
0.158 0.658 0.816 Rb
0.250 0.250 0.000 Rb
0.342 0.158 0.500 Rb
0.658 0.842 0.500 Rb
0.750 0.750 0.000 Rb
0.842 0.342 0.184 Rb
0.250 0.750 0.500 Mg
0.750 0.250 0.500 Mg
0.000 0.000 0.000 I
0.001 0.200 0.499 I
0.201 0.700 0.199 I
0.299 0.498 0.499 I
0.499 0.998 0.199 I
0.500 0.500 0.000 I
0.501 0.002 0.801 I
0.701 0.502 0.501 I
0.799 0.300 0.801 I
0.999 0.800 0.501 I